Record 1
Entry from the Alexandria database: Ba4In2Ni after structural relaxation (PBE).

Cell lengths 5.992, 5.992, 9.648 Å; angles 108.09, 108.09, 90.00 degrees
Fractional positions:
Ni  0.000  0.000  0.000
Ba  0.819  0.819  0.638
Ba  0.181  0.181  0.362
Ba  0.000  0.500  0.000
Ba  0.500  0.000  0.000
In  0.615  0.615  0.230
In  0.385  0.385  0.770

## Properties
ΔH_f (0 K) ... -58 kJ/mol of formula units
Calculated volume ... 44.46 A^3/atom
Total magnetic moment ... 0.0041 μB/atom


Record 2
Entry from the Alexandria database: CrCdPt2 after structural relaxation (PBE).

Cell lengths 6.569, 4.792, 2.938 Å; angles 89.98, 63.47, 123.26 degrees
Fractional positions:
Cd  0.000  0.500  0.500
Cr  0.500  0.500  0.000
Pt  0.000  0.000  0.000
Pt  0.500  0.000  0.500

## Properties
ΔH_f (0 K) ... -66 kJ/mol of formula units
Calculated volume ... 16.34 A^3/atom
Total magnetic moment ... 0.9268 μB/atom


Record 3
Entry from the Alexandria database: CsMg6 after structural relaxation (PBE).

Cell lengths 7.263, 7.263, 7.263 Å; angles 109.47, 109.47, 109.47 degrees
Fractional positions:
Cs  0.000  0.000  0.000
Mg  0.250  0.750  0.500
Mg  0.500  0.750  0.250
Mg  0.250  0.500  0.750
Mg  0.750  0.250  0.500
Mg  0.500  0.250  0.750
Mg  0.750  0.500  0.250

## Properties
ΔH_f (0 K) ... 309 kJ/mol of formula units
Calculated volume ... 42.13 A^3/atom
Total magnetic moment ... 0.0000 μB/atom